1.
Ti5As4H: relaxed, PBE.

Cell: 6.2134 6.2134 6.2134 Å, 99.99 99.99 130.77°
Closest atoms and distances in Å follow each position.
Element x y z (fractional)
Ti1 0.0000 0.0000 0.0000  1 H 1.87
Ti2 0.0556 0.2528 0.5973  5 As 2.50-2.60, 1 H 2.53
Ti3 0.2528 0.6555 0.1972  5 As 2.50-2.60, 1 H 2.53
Ti4 0.4583 0.0556 0.8028  5 As 2.50-2.60, 1 H 2.53
Ti5 0.6555 0.4583 0.4027  5 As 2.50-2.60, 1 H 2.53
As1 0.1508 0.9526 0.3904  6 Ti 2.50-2.60
As2 0.5622 0.7604 0.6096  6 Ti 2.50-2.60
As3 0.7604 0.1508 0.1982  6 Ti 2.50-2.60
As4 0.9526 0.5622 0.8018  6 Ti 2.50-2.60
H1 0.3621 0.3621 0.0000  1 Ti 1.87

Total DFT energy (no corrections): -67.8 eV/f.u.
Mass density: 5.4 g cm⁻³

---

2.
CaSO2F: relaxed, PBE.

Cell: 4.5294 4.5294 4.2094 Å, 90.00 90.00 90.00°
Closest atoms and distances in Å follow each position.
Element x y z (fractional)
Ca1 0.0000 0.0000 0.0000  2 F 2.10
S1 0.5000 0.5000 0.0000  8 O 3.09, 4 Ca 3.20
O1 0.0000 0.5000 0.5000  2 F 2.26
O2 0.5000 0.0000 0.5000  2 F 2.26
F1 0.0000 0.0000 0.5000  2 Ca 2.10, 4 O 2.26

Raw formation energy: -271 meV per atom
Mass density: 2.4 g cm⁻³